No. 1
Nd2ZnRh3 (PBE, optimized geometry); formation enthalpy at 0 K = -0.347 eV per atom; spin magnetization = 0.00 μB per formula unit; energy above the most stable polymorph in this dataset = 295 meV per atom; N(E_F) = 3.00 states/eV per cell
1.0
-2.264 2.710 5.063
2.264 -2.710 5.063
2.264 2.710 -5.063
Nd Zn Rh
2 1 3
Direct
0.186 0.186 0.000 Nd
0.814 0.814 0.000 Nd
0.500 0.500 0.000 Zn
0.000 0.500 0.500 Rh
0.371 0.871 0.500 Rh
0.629 0.129 0.500 Rh


No. 2
Nd3Zn2Rh7 (PBE, optimized geometry); formation enthalpy at 0 K = -0.603 eV per atom; spin magnetization = 0.00 μB per formula unit; N(E_F) = 7.61 states/eV per cell
1.0
2.729 1.576 8.397
-2.729 1.576 8.397
0.000 -3.152 8.397
Nd Zn Rh
3 2 7
Direct
0.000 0.000 0.000 Nd
0.140 0.140 0.140 Nd
0.860 0.860 0.860 Nd
0.334 0.334 0.334 Zn
0.666 0.666 0.666 Zn
0.079 0.584 0.584 Rh
0.416 0.416 0.921 Rh
0.416 0.921 0.416 Rh
0.500 0.500 0.500 Rh
0.584 0.079 0.584 Rh
0.584 0.584 0.079 Rh
0.921 0.416 0.416 Rh